(1)
{
  "formula": "Gd2HgPd",
  "functional": "GGA-PBE",
  "state": "relaxed",
  "magnetic_moment_mub_per_fu": 14.415,
  "de_polymorph_ev_per_atom": 0.000,
  "lattice": [[3.628, 0.000, 0.000], [0.000, 3.628, 0.000], [0.000, 0.000, 7.385]],
  "species": ["Gd", "Gd", "Pd", "Hg"],
  "fractional_positions": [[0.000, 0.000, 0.231], [0.000, 0.000, 0.769], [0.500, 0.500, 0.000], [0.500, 0.500, 0.500]]
}

=====

(2)
{
  "formula": "SmZnAs2",
  "functional": "GGA-PBE",
  "state": "relaxed",
  "magnetic_moment_mub_per_fu": 0.000,
  "lattice": [[4.307, 0.000, 0.000], [2.153, 3.730, 0.000], [2.153, 1.243, 7.856]],
  "species": ["As", "As", "Zn", "Sm"],
  "fractional_positions": [[0.902, 0.902, 0.295], [0.098, 0.098, 0.705], [0.000, 0.000, 0.000], [0.500, 0.500, 0.500]]
}

=====

(3)
{
  "formula": "ScTi2Be2",
  "functional": "GGA-PBE",
  "state": "relaxed",
  "magnetic_moment_mub_per_fu": 0.000,
  "de_polymorph_ev_per_atom": 0.000,
  "lattice": [[7.153, 0.000, 0.000], [0.000, 7.153, 0.000], [0.000, 0.000, 2.953]],
  "species": ["Ti", "Ti", "Ti", "Ti", "Be", "Be", "Be", "Be", "Sc", "Sc"],
  "fractional_positions": [[0.848, 0.348, 0.500], [0.652, 0.848, 0.500], [0.348, 0.152, 0.500], [0.152, 0.652, 0.500], [0.151, 0.349, 0.000], [0.849, 0.651, 0.000], [0.651, 0.151, 0.000], [0.349, 0.849, 0.000], [0.000, 0.000, 0.000], [0.500, 0.500, 0.000]]
}

=====

(4)
{
  "formula": "Hg2IrPb",
  "functional": "GGA-PBE",
  "state": "relaxed",
  "magnetic_moment_mub_per_fu": 0.000,
  "lattice": [[3.182, 0.000, 0.000], [0.000, 3.182, 0.000], [0.000, 0.000, 8.857]],
  "species": ["Hg", "Hg", "Ir", "Pb"],
  "fractional_positions": [[0.000, 0.000, 0.451], [0.000, 0.000, 0.049], [0.500, 0.500, 0.250], [0.500, 0.500, 0.750]]
}

=====

| no. | V (Å³ per atom) | ΔE_f (eV/atom) | density (Mg/m³) |
| --- | --- | --- | --- |
| 1 | 24.29 | -0.663 | 10.6 |
| 2 | 31.55 | -0.383 | 4.8 |
| 3 | 15.11 | 0.045 | 3.5 |
| 4 | 22.42 | 0.413 | 14.8 |